The following is a PBE calculation of a geometry-optimized MgPt2Au structure, from Alexandria via LeMat-Bulk.

```
data_MgPt2Au
_symmetry_space_group_name_H-M 'P 1'
_symmetry_Int_Tables_number 1
_symmetry_space_group_name_Hall 'P 1'
_cell_length_a 2.990
_cell_length_b 4.665
_cell_length_c 9.489
_cell_angle_alpha 90.00
_cell_angle_beta 90.00
_cell_angle_gamma 90.00
loop_
_atom_site_label
_atom_site_type_symbol
_atom_site_fract_x
_atom_site_fract_y
_atom_site_fract_z
Mg1 Mg 0.000 0.000 0.000
Mg2 Mg 0.500 0.500 0.500
Pt1 Pt 0.000 0.000 0.509
Pt2 Pt 0.000 0.500 0.259
Pt3 Pt 0.500 0.000 0.759
Pt4 Pt 0.500 0.500 0.009
Au1 Au 0.000 0.500 0.752
Au2 Au 0.500 0.000 0.252
```

Calculated values
formation enthalpy at 0 K = -0.367 eV/atom
N(E_F) = 1.5 states/eV/f.u.

The following is a PBE calculation of a geometry-optimized Sn3TeSe2 structure, from Alexandria via LeMat-Bulk.

```
data_Sn3TeSe2
_symmetry_space_group_name_H-M 'P 1'
_symmetry_Int_Tables_number 1
_symmetry_space_group_name_Hall 'P 1'
_cell_length_a 4.359
_cell_length_b 6.195
_cell_length_c 13.086
_cell_angle_alpha 90.00
_cell_angle_beta 90.00
_cell_angle_gamma 90.00
loop_
_atom_site_label
_atom_site_type_symbol
_atom_site_fract_x
_atom_site_fract_y
_atom_site_fract_z
Sn1 Sn 0.000 0.000 0.000
Sn2 Sn 0.000 0.000 0.323
Sn3 Sn 0.000 0.000 0.677
Sn4 Sn 0.500 0.500 0.177
Sn5 Sn 0.500 0.500 0.500
Sn6 Sn 0.500 0.500 0.823
Te1 Te 0.000 0.500 0.000
Te2 Te 0.500 0.000 0.500
Se1 Se 0.000 0.500 0.337
Se2 Se 0.000 0.500 0.663
Se3 Se 0.500 0.000 0.163
Se4 Se 0.500 0.000 0.837
```

Calculated values
N(E_F) = 0.1 states/eV/f.u.
E_form (uncorrected) = -0.369 eV per atom

The following is a PBE calculation of a geometry-optimized Pm3AlZn2Pt9 structure, from Alexandria via LeMat-Bulk.

```
data_Pm3AlZn2Pt9
_symmetry_space_group_name_H-M 'P 1'
_symmetry_Int_Tables_number 1
_symmetry_space_group_name_Hall 'P 1'
_cell_length_a 7.465
_cell_length_b 7.465
_cell_length_c 6.371
_cell_angle_alpha 90.00
_cell_angle_beta 90.00
_cell_angle_gamma 120.00
loop_
_atom_site_label
_atom_site_type_symbol
_atom_site_fract_x
_atom_site_fract_y
_atom_site_fract_z
Pm1 Pm 0.000 0.000 0.000
Pm2 Pm 0.333 0.667 0.670
Pm3 Pm 0.667 0.333 0.330
Al1 Al 0.000 0.000 0.500
Zn1 Zn 0.333 0.667 0.169
Zn2 Zn 0.667 0.333 0.831
Pt1 Pt 0.000 0.500 0.000
Pt2 Pt 0.165 0.329 0.334
Pt3 Pt 0.165 0.835 0.334
Pt4 Pt 0.329 0.165 0.666
Pt5 Pt 0.500 0.000 0.000
Pt6 Pt 0.500 0.500 0.000
Pt7 Pt 0.671 0.835 0.334
Pt8 Pt 0.835 0.165 0.666
Pt9 Pt 0.835 0.671 0.666
```

Calculated values
formation enthalpy at 0 K = -0.512 eV/atom
N(E_F) = 9.6 states/eV/f.u.

The following is a PBE calculation of a geometry-optimized SnBi2Pt2 structure, from Alexandria via LeMat-Bulk.

```
data_SnBi2Pt2
_symmetry_space_group_name_H-M 'P 1'
_symmetry_Int_Tables_number 1
_symmetry_space_group_name_Hall 'P 1'
_cell_length_a 9.326
_cell_length_b 7.449
_cell_length_c 7.172
_cell_angle_alpha 90.00
_cell_angle_beta 95.73
_cell_angle_gamma 90.00
loop_
_atom_site_label
_atom_site_type_symbol
_atom_site_fract_x
_atom_site_fract_y
_atom_site_fract_z
Sn1 Sn 0.141 0.139 0.069
Sn2 Sn 0.141 0.361 0.569
Sn3 Sn 0.859 0.639 0.431
Sn4 Sn 0.859 0.861 0.931
Bi1 Bi 0.197 0.607 0.107
Bi2 Bi 0.197 0.893 0.607
Bi3 Bi 0.465 0.247 0.975
Bi4 Bi 0.465 0.253 0.475
Bi5 Bi 0.535 0.747 0.525
Bi6 Bi 0.535 0.753 0.025
Bi7 Bi 0.803 0.107 0.393
Bi8 Bi 0.803 0.393 0.893
Pt1 Pt 0.020 0.626 0.764
Pt2 Pt 0.020 0.874 0.264
Pt3 Pt 0.346 0.562 0.757
Pt4 Pt 0.346 0.938 0.257
Pt5 Pt 0.654 0.062 0.743
Pt6 Pt 0.654 0.438 0.243
Pt7 Pt 0.980 0.126 0.736
Pt8 Pt 0.980 0.374 0.236
```

Calculated values
formation enthalpy at 0 K = -0.269 eV/atom
N(E_F) = 1.6 states/eV/f.u.

The following is a PBE calculation of a geometry-optimized LaSb12Ir4 structure, from Alexandria via LeMat-Bulk.

```
data_LaSb12Ir4
_symmetry_space_group_name_H-M 'P 1'
_symmetry_Int_Tables_number 1
_symmetry_space_group_name_Hall 'P 1'
_cell_length_a 8.208
_cell_length_b 8.208
_cell_length_c 8.208
_cell_angle_alpha 109.47
_cell_angle_beta 109.47
_cell_angle_gamma 109.47
loop_
_atom_site_label
_atom_site_type_symbol
_atom_site_fract_x
_atom_site_fract_y
_atom_site_fract_z
La1 La 0.000 0.000 0.000
Sb1 Sb 0.154 0.337 0.491
Sb2 Sb 0.154 0.663 0.817
Sb3 Sb 0.183 0.846 0.337
Sb4 Sb 0.337 0.183 0.846
Sb5 Sb 0.337 0.491 0.154
Sb6 Sb 0.491 0.154 0.337
Sb7 Sb 0.509 0.846 0.663
Sb8 Sb 0.663 0.509 0.846
Sb9 Sb 0.663 0.817 0.154
Sb10 Sb 0.817 0.154 0.663
Sb11 Sb 0.846 0.337 0.183
Sb12 Sb 0.846 0.663 0.509
Ir1 Ir 0.000 0.000 0.500
Ir2 Ir 0.000 0.500 0.000
Ir3 Ir 0.500 0.000 0.000
Ir4 Ir 0.500 0.500 0.500
```

Calculated values
N(E_F) = 9.3 states/eV/f.u.
E_form (uncorrected) = -0.374 eV per atom

The following is a PBE calculation of a geometry-optimized Nd8HOs3Br3 structure, from Alexandria via LeMat-Bulk.

```
data_Nd8HOs3Br3
_symmetry_space_group_name_H-M 'P 1'
_symmetry_Int_Tables_number 1
_symmetry_space_group_name_Hall 'P 1'
_cell_length_a 8.182
_cell_length_b 8.182
_cell_length_c 9.061
_cell_angle_alpha 116.89
_cell_angle_beta 116.89
_cell_angle_gamma 59.93
loop_
_atom_site_label
_atom_site_type_symbol
_atom_site_fract_x
_atom_site_fract_y
_atom_site_fract_z
Nd1 Nd 0.228 0.734 0.695
Nd2 Nd 0.235 0.235 0.704
Nd3 Nd 0.266 0.266 0.304
Nd4 Nd 0.266 0.772 0.305
Nd5 Nd 0.734 0.228 0.695
Nd6 Nd 0.734 0.734 0.696
Nd7 Nd 0.765 0.765 0.296
Nd8 Nd 0.772 0.266 0.305
H1 H 0.500 0.500 0.500
Os1 Os 0.000 0.000 0.500
Os2 Os 0.000 0.500 0.500
Os3 Os 0.500 0.000 0.500
Br1 Br 0.000 0.500 0.000
Br2 Br 0.500 0.000 0.000
Br3 Br 0.500 0.500 0.000
```

Calculated values
E = -88.086 eV per cell
N(E_F) = 7.6 states/eV/f.u.

The following is a PBE calculation of a geometry-optimized NpZn5Pt3 structure, from Alexandria via LeMat-Bulk.

```
data_NpZn5Pt3
_symmetry_space_group_name_H-M 'P 1'
_symmetry_Int_Tables_number 1
_symmetry_space_group_name_Hall 'P 1'
_cell_length_a 7.085
_cell_length_b 7.085
_cell_length_c 11.980
_cell_angle_alpha 90.00
_cell_angle_beta 90.00
_cell_angle_gamma 147.95
loop_
_atom_site_label
_atom_site_type_symbol
_atom_site_fract_x
_atom_site_fract_y
_atom_site_fract_z
Np1 Np 0.183 0.817 0.750
Np2 Np 0.817 0.183 0.250
Zn1 Zn 0.000 0.000 0.000
Zn2 Zn 0.000 0.000 0.500
Zn3 Zn 0.197 0.803 0.041
Zn4 Zn 0.197 0.803 0.459
Zn5 Zn 0.432 0.568 0.641
Zn6 Zn 0.432 0.568 0.859
Zn7 Zn 0.568 0.432 0.141
Zn8 Zn 0.568 0.432 0.359
Zn9 Zn 0.803 0.197 0.541
Zn10 Zn 0.803 0.197 0.959
Pt1 Pt 0.152 0.848 0.250
Pt2 Pt 0.386 0.614 0.079
Pt3 Pt 0.386 0.614 0.421
Pt4 Pt 0.614 0.386 0.579
Pt5 Pt 0.614 0.386 0.921
Pt6 Pt 0.848 0.152 0.750
```

Calculated values
formation enthalpy at 0 K = -0.365 eV/atom
N(E_F) = 12.8 states/eV/f.u.

The following is a PBE calculation of a geometry-optimized USiSn structure, from Alexandria via LeMat-Bulk.

```
data_USiSn
_symmetry_space_group_name_H-M 'P 1'
_symmetry_Int_Tables_number 1
_symmetry_space_group_name_Hall 'P 1'
_cell_length_a 4.699
_cell_length_b 13.730
_cell_length_c 3.800
_cell_angle_alpha 90.00
_cell_angle_beta 90.00
_cell_angle_gamma 90.00
loop_
_atom_site_label
_atom_site_type_symbol
_atom_site_fract_x
_atom_site_fract_y
_atom_site_fract_z
U1 U 0.000 0.063 0.250
U2 U 0.000 0.937 0.750
U3 U 0.500 0.437 0.750
U4 U 0.500 0.563 0.250
Si1 Si 0.000 0.438 0.250
Si2 Si 0.000 0.562 0.750
Si3 Si 0.500 0.062 0.750
Si4 Si 0.500 0.938 0.250
Sn1 Sn 0.000 0.259 0.750
Sn2 Sn 0.000 0.741 0.250
Sn3 Sn 0.500 0.241 0.250
Sn4 Sn 0.500 0.759 0.750
```

Calculated values
N(E_F) = 3.7 states/eV/f.u.
E_form (uncorrected) = -0.141 eV per atom

Q: Which formula does entry 3 have?
A: Pm3AlZn2Pt9